A plane-wave DFT calculation with GGA-PBE was carried out for crystalline Sm4Dy8Zr at its relaxed geometry. Values from VASP.

## Properties
energy of formation = 543 meV/atom
SG = R-3m, No. 166

Cell and atoms, written as Quantum ESPRESSO input:
```
&SYSTEM
  ibrav = 0, nat = 13, ntyp = 3
/
ATOMIC_SPECIES
Sm 150.36 Sm.upf
Dy 162.50 Dy.upf
Zr 91.22 Zr.upf
CELL_PARAMETERS angstrom
5.4528 3.1482 4.4253
-5.4528 3.1482 4.4253
0.0000 -6.2964 4.4253
ATOMIC_POSITIONS crystal
Sm 0.0000 0.0000 0.0000
Sm 0.0000 0.5000 0.5000
Sm 0.5000 0.0000 0.5000
Sm 0.5000 0.5000 0.0000
Dy 0.2431 0.2431 0.7544
Dy 0.2431 0.7544 0.2431
Dy 0.2438 0.2438 0.2438
Dy 0.2456 0.7569 0.7569
Dy 0.7544 0.2431 0.2431
Dy 0.7562 0.7562 0.7562
Dy 0.7569 0.2456 0.7569
Dy 0.7569 0.7569 0.2456
Zr 0.5000 0.5000 0.5000
```